A plane-wave DFT calculation with GGA-PBE was carried out for an optimized crystal structure of KCu2Ni.

Geometry as POSCAR:
```
KCu2Ni
1.0
3.4207 0.0000 0.0000
0.0000 2.7889 0.0046
0.0000 2.7688 7.3800
K Cu Ni
1 2 1
Direct
0.5000 0.2500 0.2500
0.0000 0.4131 0.5875
0.0000 0.0869 0.9125
0.5000 0.7500 0.7500
```

ΔE_f ... 0.3962 eV/atom
Spin magnetization ... 0.00 μB per cell
V ... 17.59 A^3/atom
Space-group type ... No. 47

---

A plane-wave DFT calculation with GGA-PBE was carried out for an optimized crystal structure of AlTl.

Geometry as POSCAR:
```
AlTl
1.0
-2.7460 2.5294 0.7955
0.6857 -0.4289 3.7306
4.9030 5.4106 -0.2791
Al Tl
2 2
Direct
0.2500 0.7500 0.0000
0.7500 0.2500 0.0000
0.7500 0.7500 0.6499
0.2500 0.2500 0.3501
```

ΔE_f ... 0.2336 eV/atom
Spin magnetization ... 0.00 μB per cell
V ... 26.62 A^3/atom
Space-group type ... No. 129

---

A plane-wave DFT calculation with GGA-PBE was carried out for an optimized crystal structure of BeSiSbI2.

Geometry as POSCAR:
```
BeSiSbI2
1.0
5.1246 0.0000 0.0000
0.0000 5.1246 0.0000
0.0000 0.0000 5.0748
Be Si I Sb
1 1 2 1
Direct
0.0000 0.0000 0.0000
0.5000 0.5000 0.5000
0.5000 0.0000 0.0000
0.0000 0.5000 0.0000
0.0000 0.0000 0.5000
```

Spin magnetization ... 0.00 μB per cell
V ... 26.65 A^3/atom
Space-group type ... No. 123
Uncorrected energy ... -2.589 eV/atom

---

A plane-wave DFT calculation with GGA-PBE was carried out for an optimized crystal structure of LiAl2.

Geometry as POSCAR:
```
LiAl2
1.0
-2.7572 2.1772 1.9396
-4.0799 -2.0370 -3.5131
-1.3614 -6.4794 5.3381
Al Li
8 4
Direct
0.7500 0.8653 0.2533
0.2500 0.6223 0.0837
0.2500 0.1223 0.4163
0.7500 0.3653 0.2467
0.7500 0.3777 0.9163
0.7500 0.8777 0.5837
0.2500 0.1347 0.7467
0.2500 0.6347 0.7533
0.2500 0.6168 0.4139
0.7500 0.3832 0.5861
0.7500 0.8832 0.9139
0.2500 0.1168 0.0861
```

ΔE_f ... -0.1071 eV/atom
Spin magnetization ... 0.00 μB per cell
V ... 16.37 A^3/atom
Space-group type ... No. 62

---

A plane-wave DFT calculation with GGA-PBE was carried out for an optimized crystal structure of Ba8GeS3Br4.

Geometry as POSCAR:
```
Ba8GeS3Br4
1.0
-0.4133 -8.5863 3.5794
9.4327 -0.8533 -0.9578
-3.4605 7.2065 4.7755
Br Ba S Ge
4 8 3 1
Direct
0.0000 0.0000 0.5000
0.5000 0.0000 0.0000
0.0000 0.0000 0.0000
0.5000 0.0000 0.5000
0.2595 0.2794 0.0194
0.7386 0.7159 0.4772
0.7599 0.2794 0.0194
0.2401 0.7204 0.4802
0.2401 0.7206 0.9806
0.7599 0.2796 0.5198
0.7405 0.7206 0.9806
0.2614 0.2841 0.5228
0.5000 0.5000 0.5000
0.0000 0.5000 0.5000
0.5000 0.5000 0.0000
0.0000 0.5000 0.0000
```

Spin magnetization ... 0.00 μB per cell
V ... 36.87 A^3/atom
Space-group type ... No. 166
Uncorrected energy ... -4.156 eV/atom

---

A plane-wave DFT calculation with GGA-PBE was carried out for an optimized crystal structure of PrSm3Y2Er6.

Geometry as POSCAR:
```
PrSm3Y2Er6
1.0
-4.3296 4.1026 -1.6084
-0.7530 -5.9774 -1.3665
-3.6515 -1.0280 11.1499
Y Er Sm Pr
2 6 3 1
Direct
0.3333 0.6667 0.0000
0.6667 0.3333 0.0000
0.4171 0.0838 0.2503
0.9162 0.5829 0.7497
0.7502 0.7502 0.2501
0.2498 0.2498 0.7499
0.0838 0.4171 0.2503
0.5829 0.9162 0.7497
0.5000 0.5000 0.5000
0.1669 0.8331 0.5000
0.8331 0.1669 0.5000
0.0000 0.0000 0.0000
```

ΔE_f ... 0.0192 eV/atom
Spin magnetization ... 0.00 μB per cell
V ... 31.95 A^3/atom
Space-group type ... No. 12

---

A plane-wave DFT calculation with GGA-PBE was carried out for an optimized crystal structure of HoLuCoCu.

Geometry as POSCAR:
```
HoLuCoCu
1.0
4.7426 0.0000 0.0000
2.3713 4.1072 0.0000
2.3713 1.3691 3.8723
Lu Co Ho Cu
1 1 1 1
Direct
0.5000 0.5000 0.5000
0.7500 0.7500 0.7500
0.0000 0.0000 0.0000
0.2500 0.2500 0.2500
```

ΔE_f ... -0.2391 eV/atom
Spin magnetization ... 0.32 μB per cell
V ... 18.86 A^3/atom
Space-group type ... No. 216

---

A plane-wave DFT calculation with GGA-PBE was carried out for an optimized crystal structure of Sm2ErInC.

Geometry as POSCAR:
```
Sm2ErInC
1.0
4.8734 0.0000 0.0000
0.0000 5.0640 0.0000
0.0000 0.0000 5.0640
Er In Sm C
1 1 2 1
Direct
0.5000 0.0000 0.0000
0.5000 0.5000 0.5000
0.0000 0.5000 0.0000
0.0000 0.0000 0.5000
0.0000 0.0000 0.0000
```

ΔE_f ... -0.4280 eV/atom
Spin magnetization ... 0.00 μB per cell
V ... 24.99 A^3/atom
Space-group type ... No. 123

---

A plane-wave DFT calculation with GGA-PBE was carried out for an optimized crystal structure of Zr2AlCu3.

Geometry as POSCAR:
```
Zr2AlCu3
1.0
-3.0254 -2.0036 -4.4934
-0.6976 -2.1276 5.3240
-5.0072 4.7243 1.0533
Al Zr Cu
2 4 6
Direct
0.6681 0.3319 0.6371
0.3319 0.6681 0.3629
0.0000 0.0000 0.0000
0.5000 0.0000 0.0000
0.0000 0.5000 0.0000
0.5000 0.5000 0.0000
0.8376 0.1624 0.3521
0.1650 0.3313 0.6470
0.3313 0.1650 0.3530
0.6687 0.8350 0.6470
0.1624 0.8376 0.6479
0.8350 0.6687 0.3530
```

ΔE_f ... 0.0653 eV/atom
Spin magnetization ... 0.00 μB per cell
V ... 16.46 A^3/atom
Space-group type ... No. 12

---

A plane-wave DFT calculation with GGA-PBE was carried out for an optimized crystal structure of TlCd2As2.

Geometry as POSCAR:
```
TlCd2As2
1.0
-1.4198 4.3325 0.3951
-1.7653 -0.9536 4.1131
3.7247 3.1921 4.8846
As Cd Tl
2 2 1
Direct
0.3845 0.3845 0.2309
0.6155 0.6155 0.7691
0.2500 0.7500 0.5000
0.7500 0.2500 0.5000
0.0000 0.0000 0.0000
```

ΔE_f ... -0.0081 eV/atom
Spin magnetization ... 0.00 μB per cell
V ... 25.63 A^3/atom
Space-group type ... No. 139

---

A plane-wave DFT calculation with GGA-PBE was carried out for an optimized crystal structure of FeNi2Ir8.

Geometry as POSCAR:
```
FeNi2Ir8
1.0
-0.9188 4.4832 -0.8087
5.4422 -1.9265 -4.0724
-5.1787 -2.9093 -1.0996
Ir Ni Fe
8 2 1
Direct
0.5956 0.7304 0.1836
0.6841 0.4508 0.3645
0.8620 0.9117 0.7259
0.0399 0.3617 0.0890
0.1380 0.0883 0.2741
0.9601 0.6383 0.9110
0.3159 0.5492 0.6355
0.4044 0.2696 0.8164
0.7700 0.1794 0.5437
0.2300 0.8206 0.4563
0.5000 0.0000 0.0000
```

ΔE_f ... -0.0126 eV/atom
Spin magnetization ... 2.69 μB per cell
V ... 13.74 A^3/atom
Space-group type ... No. 2

---

A plane-wave DFT calculation with GGA-PBE was carried out for an optimized crystal structure of HfCdSe2Br.

Geometry as POSCAR:
```
HfCdSe2Br
1.0
5.2064 0.0000 0.0000
0.0000 5.2064 0.0000
0.0000 0.0000 5.1252
Se Br Hf Cd
2 1 1 1
Direct
0.5000 0.0000 0.0000
0.0000 0.5000 0.0000
0.0000 0.0000 0.5000
0.5000 0.5000 0.5000
0.0000 0.0000 0.0000
```

Spin magnetization ... 0.83 μB per cell
V ... 27.79 A^3/atom
Space-group type ... No. 123
Uncorrected energy ... -3.451 eV/atom

---

> Which formula does entry 8 have?

Sm2ErInC